[1]
Entry from Alexandria: a relaxed structure of Y4CuRe (PBE).

Summary:
ΔH_f (0 K): 1061 meV/atom
Total magnetization: 0.000 μB per atom
Symmetry: No. 216

a = 5.9440 Å, b = 5.9440 Å, c = 5.9440 Å
α = 60.00°, β = 60.00°, γ = 60.00°
Fractional coordinates of all 6 atoms:
Y 0.3762 0.3762 0.3762
Y 0.3762 0.3762 0.8715
Y 0.3762 0.8715 0.3762
Y 0.8715 0.3762 0.3762
Cu 0.0000 0.0000 0.0000
Re 0.7500 0.7500 0.7500

---

[2]
Entry from Alexandria: a relaxed structure of Rb2GaAuCl6 (PBE).

Summary:
Uncorrected formation energy: -1173 meV per atom
Energy above the lowest structure with this stoichiometry: 159 meV per atom
Total magnetization: 0.000 μB per atom
Symmetry: No. 139

a = 7.1918 Å, b = 7.1918 Å, c = 7.1918 Å
α = 113.56°, β = 113.56°, γ = 101.57°
Fractional coordinates of all 10 atoms:
Rb 0.2500 0.7500 0.5000
Rb 0.7500 0.2500 0.5000
Ga 0.0000 0.0000 0.0000
Au 0.5000 0.5000 0.0000
Cl 0.2136 0.2136 0.4273
Cl 0.2136 0.7864 0.0000
Cl 0.2544 0.2544 0.0000
Cl 0.7456 0.7456 0.0000
Cl 0.7864 0.2136 0.0000
Cl 0.7864 0.7864 0.5727

---

[3]
Entry from Alexandria: a relaxed structure of YAlSe3 (PBE).

Summary:
Uncorrected formation energy: -1241 meV per atom
Energy above the lowest structure with this stoichiometry: 130 meV per atom
Total magnetization: 0.000 μB per atom
Symmetry: No. 194

a = 4.3131 Å, b = 4.3131 Å, c = 16.2118 Å
α = 90.00°, β = 90.00°, γ = 120.00°
Fractional coordinates of all 10 atoms:
Y 0.0000 0.0000 0.0000
Y 0.0000 0.0000 0.5000
Al 0.3333 0.6667 0.2500
Al 0.6667 0.3333 0.7500
Se 0.0000 0.0000 0.2500
Se 0.0000 0.0000 0.7500
Se 0.3333 0.6667 0.0908
Se 0.3333 0.6667 0.4092
Se 0.6667 0.3333 0.5908
Se 0.6667 0.3333 0.9092

---

[4]
Entry from Alexandria: a relaxed structure of PuBiRh (PBE).

Summary:
ΔH_f (0 K): -358 meV/atom
Total magnetization: 0.079 μB per atom
Symmetry: No. 166

a = 8.1326 Å, b = 8.1326 Å, c = 8.1326 Å
α = 33.86°, β = 33.86°, γ = 33.86°
Fractional coordinates of all 6 atoms:
Pu 0.0000 0.0000 0.0000
Pu 0.5000 0.5000 0.5000
Bi 0.2432 0.2432 0.2432
Bi 0.7568 0.7568 0.7568
Rh 0.3713 0.3713 0.3713
Rh 0.6287 0.6287 0.6287